1.
# CsTl2Sn | Alexandria via LeMat-Bulk | PBE | optimized geometry
# Total energy (eV per atom): -2.403
# D(E_F) (states/eV per cell): 9.0
data_CsTl2Sn
_cell_length_a 8.290
_cell_length_b 8.290
_cell_length_c 8.290
_cell_angle_alpha 90.00
_cell_angle_beta 90.00
_cell_angle_gamma 90.00
_symmetry_space_group_name_H-M 'F m -3 m'
_symmetry_Int_Tables_number 225
_symmetry_space_group_name_Hall '-F 4 2 3'
loop_
_atom_site_label
_atom_site_type_symbol
_atom_site_fract_x
_atom_site_fract_y
_atom_site_fract_z
_atom_site_occupancy
Cs1 Cs 0.000 0.000 0.000 1
Tl1 Tl 0.250 0.250 0.250 1
Sn1 Sn 0.000 0.000 0.500 1



2.
# CsTl3Sn | Alexandria via LeMat-Bulk | PBE | optimized geometry
# Total energy (eV per atom): -2.299
# D(E_F) (states/eV per cell): 4.1
data_CsTl3Sn
_cell_length_a 6.098
_cell_length_b 6.098
_cell_length_c 6.098
_cell_angle_alpha 90.00
_cell_angle_beta 90.00
_cell_angle_gamma 90.00
_symmetry_space_group_name_H-M 'P m -3 m'
_symmetry_Int_Tables_number 221
_symmetry_space_group_name_Hall '-P 4 2 3'
loop_
_atom_site_label
_atom_site_type_symbol
_atom_site_fract_x
_atom_site_fract_y
_atom_site_fract_z
_atom_site_occupancy
Cs1 Cs 0.000 0.000 0.000 1
Tl1 Tl 0.000 0.500 0.500 1
Sn1 Sn 0.500 0.500 0.500 1